Run A
The following is a DFT calculation (GGA-PBE) of an optimized crystal structure of ZrNb3S.

Cell: 4.9454 4.9454 4.9454 Å, 90.00 90.00 90.00°
Space group Pm-3m (No. 221)
Symmetry-distinct sites (fractional):
Zr 0.0000 0.0000 0.0000 [1 per cell]
Nb 0.0000 0.0000 0.5000 [3 per cell]
S 0.5000 0.5000 0.5000 [1 per cell]

Summary:
Spin magnetization   0.00 μB/f.u.

Run B
The following is a DFT calculation (GGA-PBE) of an optimized crystal structure of ZrNb3S.

Cell: 4.6327 4.6327 4.6327 Å, 90.00 90.00 90.00°
Space group Pm-3m (No. 221)
Symmetry-distinct sites (fractional):
Zr 0.0000 0.0000 0.0000 [1 per cell]
Nb 0.0000 0.5000 0.5000 [3 per cell]
S 0.5000 0.5000 0.5000 [1 per cell]

Summary:
Spin magnetization   0.00 μB/f.u.

Referenced to the most stable arrangement, the calculated values in meV/atom are run A 1888; run B 0.

Run A
The following is a DFT calculation (GGA-PBE) of an optimized crystal structure of Nb3Sb.

Cell: 4.0988 4.0988 9.0238 Å, 90.00 90.00 90.00°
Space group I4/mmm (No. 139)
Symmetry-distinct sites (fractional):
Nb 0.0000 0.0000 0.0000 [2 per cell]
Nb 0.0000 0.5000 0.2500 [4 per cell]
Sb 0.0000 0.0000 0.5000 [2 per cell]

Summary:
Spin magnetization   0.00 μB/f.u.

Run B
The following is a DFT calculation (GGA-PBE) of an optimized crystal structure of Nb3Sb.

Cell: 5.3029 5.3029 5.3029 Å, 90.00 90.00 90.00°
Space group Pm-3n (No. 223)
Symmetry-distinct sites (fractional):
Nb 0.0000 0.2500 0.5000 [6 per cell]
Sb 0.0000 0.0000 0.0000 [2 per cell]

Summary:
Spin magnetization   0.00 μB/f.u.

Run C
The following is a DFT calculation (GGA-PBE) of an optimized crystal structure of Nb3Sb.

Cell: 4.2183 4.2183 4.2183 Å, 90.00 90.00 90.00°
Space group Pm-3m (No. 221)
Symmetry-distinct sites (fractional):
Nb 0.0000 0.0000 0.5000 [3 per cell]
Sb 0.5000 0.5000 0.5000 [1 per cell]

Summary:
Spin magnetization   0.00 μB/f.u.

Referenced to the most stable arrangement, the calculated values in meV/atom are run A 226; run B 0; run C 140.